ZrTiIr | PBE | optimized geometry

SG: Imma
ΔE_f: -74 kJ/mol of atoms
Energy above the lowest structure with this stoichiometry: 0.00 eV per formula unit
Magnetic moment: 0.0 μB per cell

Geometry as extended XYZ:
```
6
Lattice="4.6008 0.1290 -2.5370 -2.9593 4.3354 -0.2608 0.0298 -0.1290 5.2539" Properties=species:S:1:pos:R:3 pbc="T T T"
Ir -1.4647 2.1032 2.4965
Ir 2.3153 0.0000 1.3584
Ti 0.8357 2.1677 1.2280
Ti -1.4796 2.1677 -0.1304
Zr 0.8249 0.4346 3.8986
Zr 0.8464 3.9007 -1.4426
```

***

NaCa4Ag | PBE | optimized geometry

SG: P2_1/m
ΔE_f: -6 kJ/mol of atoms
Magnetic moment: 0.0 μB per cell

Geometry as extended XYZ:
```
12
Lattice="-4.1060 -4.2999 -1.9996 -0.2002 -3.0163 6.8974 -4.0859 8.5961 3.6406" Properties=species:S:1:pos:R:3 pbc="T T T"
Ca -4.9327 -1.7879 -0.8401
Ca -3.4595 3.0677 9.3785
Ca -2.2665 -2.5179 4.9998
Ca -6.1256 3.7978 3.5386
Ca -4.2798 0.5598 2.1762
Ca -3.3635 4.5136 6.0723
Ca -4.1123 0.7201 6.3623
Ca -5.0286 -3.2337 2.4661
Ag -3.0016 3.1277 3.3363
Ag -5.3906 -1.8478 5.2022
Na -6.8436 2.6906 7.1447
Na -1.5485 -1.4107 1.3937
```

***

LiInCo2 | PBE | optimized geometry

SG: P4/mmm
ΔE_f: 25 kJ/mol of atoms
Magnetic moment: 2.4 μB per cell

Geometry as extended XYZ:
```
4
Lattice="3.1531 0.0072 0.0000 -0.0067 3.1531 0.0000 0.0000 0.0000 5.5048" Properties=species:S:1:pos:R:3 pbc="T T T"
Co 0.0000 0.0000 5.2840
Co 0.0000 0.0000 2.9732
In 1.5732 1.5801 1.3762
Li 1.5732 1.5801 4.1286
```

***

> What is the ΔE_f in the first record?

-74 kJ/mol of atoms

***

> Among the records above, which one has the lowest ΔE_f?

ZrTiIr

***

Please write out number 1 again, unchanged.
ZrTiIr | PBE | optimized geometry

SG: Imma
ΔE_f: -74 kJ/mol of atoms
Energy above the lowest structure with this stoichiometry: 0.00 eV per formula unit
Magnetic moment: 0.0 μB per cell

Geometry as extended XYZ:
```
6
Lattice="4.6008 0.1290 -2.5370 -2.9593 4.3354 -0.2608 0.0298 -0.1290 5.2539" Properties=species:S:1:pos:R:3 pbc="T T T"
Ir -1.4647 2.1032 2.4965
Ir 2.3153 0.0000 1.3584
Ti 0.8357 2.1677 1.2280
Ti -1.4796 2.1677 -0.1304
Zr 0.8249 0.4346 3.8986
Zr 0.8464 3.9007 -1.4426
```